VASP calculation (PBE) on La2CdNi3Sb4 after structural relaxation.

Structure (POSCAR):
```
La2CdNi3Sb4
1.0
4.5669 0.0000 0.0000
0.0000 4.5669 0.0000
0.0000 0.0000 10.6257
La Cd Ni Sb
2 1 3 4
Cartesian
0.0000 2.2835 2.5649
2.2835 0.0000 8.0608
0.0000 0.0000 5.3128
0.0000 2.2835 9.4307
2.2835 0.0000 1.1950
2.2835 2.2835 5.3128
0.0000 0.0000 0.0000
0.0000 2.2835 6.9138
2.2835 0.0000 3.7119
2.2835 2.2835 0.0000
```

- M_tot: 0.000 Bohr magnetons per cell
- Energy relative to the elements, uncorrected: -588 meV per atom
- Crystal system: tetragonal

VASP calculation (PBE) on La2ScCdNi after structural relaxation.

Structure (POSCAR):
```
La2ScCdNi
1.0
5.3872 0.0000 0.0000
0.0000 5.3872 0.0000
0.0000 0.0000 5.0688
La Sc Cd Ni
2 1 1 1
Cartesian
0.0000 2.6936 0.0000
2.6936 0.0000 0.0000
0.0000 0.0000 2.5344
2.6936 2.6936 2.5344
0.0000 0.0000 0.0000
```

- Formation enthalpy at 0 K: -115.5 meV per atom
- M_tot: 0.014 Bohr magnetons per cell
- Crystal system: tetragonal

VASP calculation (PBE) on La2CdNiSn after structural relaxation.

Structure (POSCAR):
```
La2CdNiSn
1.0
5.3307 0.0000 0.0000
0.0000 5.3307 0.0000
0.0000 0.0000 4.9688
La Cd Ni Sn
2 1 1 1
Cartesian
0.0000 2.6653 0.0000
2.6653 0.0000 0.0000
0.0000 0.0000 2.4844
0.0000 0.0000 0.0000
2.6653 2.6653 2.4844
```

- Energy above the most stable polymorph in this dataset: 0 meV per atom
- Formation enthalpy at 0 K: -413.7 meV per atom
- M_tot: 0.000 Bohr magnetons per cell
- Crystal system: tetragonal